1.
Compound: MgPtW2
Source: Alexandria via LeMat-Bulk
Functional: SCAN
Structure: single point on PBEsol structure

Crystal system: orthorhombic
Space-group type: Pmmm, No. 47

Cell: 2.7053 4.3609 5.2748 Å, 90.00 90.00 90.00°
Closest atoms and distances in Å follow each position.
Fractional positions:
Mg1 0.0000 0.0000 0.0000  2 Pt 2.64, 2 Mg 2.71, 8 W 2.87
Pt1 0.0000 0.0000 0.5000  2 Mg 2.64, 2 Pt 2.71, 8 W 2.90
W1 0.5000 0.5000 0.2449  4 W 2.58-2.71, 4 Mg 2.87
W2 0.5000 0.5000 0.7551  4 W 2.58-2.71, 4 Mg 2.87

=====

2.
Compound: Mg2SiS4
Source: Alexandria via LeMat-Bulk
Functional: SCAN
Structure: single point on PBEsol structure

Crystal system: orthorhombic
Space-group type: Pnma, No. 62
ΔE_f (raw), eV per atom: -1.327

Cell: 12.6447 7.4004 5.9059 Å, 90.00 90.00 90.00°
Closest atoms and distances in Å follow each position.
Fractional positions:
Mg1 0.0000 0.0000 0.0000  6 S 2.55-2.60
Mg2 0.0000 0.5000 0.0000  6 S 2.55-2.60
Mg3 0.2314 0.2500 0.4911  6 S 2.55-2.61
Mg4 0.2686 0.7500 0.9911  6 S 2.55-2.61
Mg5 0.5000 0.0000 0.5000  6 S 2.55-2.60
Mg6 0.5000 0.5000 0.5000  6 S 2.55-2.60
Mg7 0.7314 0.2500 0.0089  6 S 2.55-2.61
Mg8 0.7686 0.7500 0.5089  6 S 2.55-2.61
Si1 0.0896 0.7500 0.4062  4 S 2.11-2.15
Si2 0.4104 0.2500 0.9062  4 S 2.11-2.15
Si3 0.5896 0.7500 0.0938  4 S 2.11-2.15
Si4 0.9104 0.2500 0.5938  4 S 2.11-2.15
S1 0.0662 0.2500 0.7388  1 Si 2.15
S2 0.0923 0.7500 0.7632  1 Si 2.11
S3 0.1671 0.5235 0.2522  1 Si 2.14
S4 0.1671 0.9765 0.2522  1 Si 2.14
S5 0.3329 0.0235 0.7522  1 Si 2.14
S6 0.3329 0.4765 0.7522  1 Si 2.14
S7 0.4077 0.2500 0.2632  1 Si 2.11
S8 0.4338 0.7500 0.2388  1 Si 2.15
S9 0.5662 0.2500 0.7612  1 Si 2.15
S10 0.5923 0.7500 0.7368  1 Si 2.11
S11 0.6671 0.5235 0.2478  1 Si 2.14
S12 0.6671 0.9765 0.2478  1 Si 2.14
S13 0.8329 0.0235 0.7478  1 Si 2.14
S14 0.8329 0.4765 0.7478  1 Si 2.14
S15 0.9077 0.2500 0.2368  1 Si 2.11
S16 0.9338 0.7500 0.2612  1 Si 2.15

=====

3.
Compound: CdMo2AsW
Source: Alexandria via LeMat-Bulk
Functional: SCAN
Structure: single point on PBEsol structure

Crystal system: tetragonal
Space-group type: P4/mmm, No. 123

Cell: 4.7842 4.7842 4.7222 Å, 90.00 90.00 90.00°
Closest atoms and distances in Å follow each position.
Fractional positions:
Cd1 0.0000 0.0000 0.0000  8 Mo 3.36, 4 As 3.38
Mo1 0.0000 0.5000 0.5000  2 W 2.39
Mo2 0.5000 0.0000 0.5000  2 W 2.39
As1 0.5000 0.5000 0.0000  2 W 2.36
W1 0.5000 0.5000 0.5000  2 As 2.36, 4 Mo 2.39

=====

| no. | DOS at the Fermi energy (states/eV per atom) | energy (eV/atom) |
| --- | --- | --- |
| 1 | 0.636 | -53.533 |
| 2 | 0.000 | -9.681 |
| 3 | 0.887 | -36.546 |